DFT (PBE) results for a relaxed structure of Nd2GePd3.

a b c (Å): 4.449 4.449 15.487
angles (deg): 90.00 90.00 120.00
Element x y z (fractional)
Nd (0.000, 0.000, 0.626)
Nd (0.000, 0.000, 0.374)
Nd (0.000, 0.000, 0.126)
Nd (0.000, 0.000, 0.874)
Ge (0.667, 0.333, 0.750)
Ge (0.333, 0.667, 0.250)
Pd (0.667, 0.333, 0.250)
Pd (0.333, 0.667, 0.750)
Pd (0.667, 0.333, 0.499)
Pd (0.333, 0.667, 0.501)
Pd (0.333, 0.667, 0.999)
Pd (0.667, 0.333, 0.001)

## Properties
ΔH_f (0 K), kJ/mol of atoms: -76.1
M_tot, Bohr magnetons per cell: 0.000